Here is an optimized crystal structure of Tl8Te6Pb from Alexandria. Energies are from PBE-GGA.

The raw formation energy comes out at -0.251 eV per atom. Its density of states at the Fermi level is 6.95 states/eV/f.u.

The structure belongs to space group R-3 (No. 148, hexagonal axes); the cell edges are 7.9123, 7.9123 and 30.5043 Å and the angles 90.00°, 90.00° and 120.00°. Symmetry generates all atoms from Tl at (0.0000, 0.0000, 0.1658), Tl at (0.0018, 0.6649, 0.6237), Te at (0.0017, 0.6723, 0.4351) and Pb at (0.0000, 0.0000, 0.5000).